The following is a DFT calculation (PBE-GGA) of a geometry-optimized NaAlSi structure.

Results
Final energy: -0.1243 hartree per atom
Uncorrected formation energy: 0.33 eV per formula unit
ρ: 2.023 g/cm³

a b c (Å): 3.8579 11.4255 5.8144
angles (deg): 90.00 90.00 90.00
Space group Cmcm (No. 63)
Unique sites:
Na  0.0000  0.2075  0.2500 x4
Al  0.0000  0.5000  0.0000 x4
Si  0.0000  0.0807  0.7500 x4